Record 1
This record from the Alexandria database describes a relaxed structure of Tb2Pr6Tm. The functional is PBE.

Output
The calculation puts the energy above the most stable polymorph in this dataset at 0 meV/atom.

Cell lengths 6.296, 10.218, 10.218 Å; angles 71.50, 84.87, 84.87 degrees
Positions (direct):
Tb  0.418  0.566  0.768
Tb  0.082  0.232  0.434
Tb  0.582  0.434  0.232
Tb  0.918  0.768  0.566
Pr  0.486  0.689  0.408
Pr  0.014  0.592  0.311
Pr  0.514  0.311  0.592
Pr  0.986  0.408  0.689
Pr  0.652  0.074  0.353
Pr  0.848  0.647  0.926
Pr  0.348  0.926  0.647
Pr  0.152  0.353  0.074
Pr  0.320  0.744  0.023
Pr  0.180  0.977  0.256
Pr  0.680  0.256  0.977
Pr  0.820  0.023  0.744
Tm  0.250  0.102  0.898
Tm  0.750  0.898  0.102

Record 2
This record from the Alexandria database describes a relaxed structure of NiSbI2. The functional is PBE.

Output
The value obtained for the formation energy without anion corrections is 0.364 eV/atom. The calculation puts the energy above the most stable polymorph in this dataset at 165 meV/atom.

Cell lengths 7.236, 7.236, 6.961 Å; angles 58.68, 58.68, 90.00 degrees
Positions (direct):
I  0.554  0.125  0.250
I  0.196  0.625  0.250
I  0.375  0.446  0.750
I  0.875  0.804  0.750
Sb  0.000  0.000  0.000
Sb  0.750  0.250  0.500
Ni  0.500  0.500  0.000
Ni  0.250  0.750  0.500

Record 3
This record from the Alexandria database describes a relaxed structure of KTaIN2. The functional is PBE.

Output
The value obtained for the formation energy without anion corrections is -0.044 eV/atom. The calculation puts the energy above the most stable polymorph in this dataset at 0 meV/atom.

Cell lengths 4.197, 4.197, 5.823 Å; angles 90.00, 90.00, 90.00 degrees
Last column: magnetic moment on the atom in μB.
Positions (direct):
I  0.000  0.000  0.500  0.00
K  0.500  0.500  0.500  0.00
N  0.000  0.500  0.000  0.12
N  0.500  0.000  0.000  0.12
Ta  0.000  0.000  0.000  -0.04

Record 4
This record from the Alexandria database describes a relaxed structure of AlAs3Cl. The functional is PBE.

Output
The value obtained for the formation energy without anion corrections is 0.539 eV/atom. The calculation puts the energy above the most stable polymorph in this dataset at 0 meV/atom.

Cell lengths 4.878, 4.878, 4.878 Å; angles 90.00, 90.00, 90.00 degrees
Positions (direct):
As  0.000  0.500  0.000
As  0.000  0.000  0.500
As  0.500  0.000  0.000
Al  0.000  0.000  0.000
Cl  0.500  0.500  0.500

Record 5
This record from the Alexandria database describes a relaxed structure of Rb4Sb2S5. The functional is PBE.

Output
The value obtained for the formation energy without anion corrections is -0.862 eV/atom.

Cell lengths 6.816, 6.816, 9.566 Å; angles 77.74, 77.74, 72.03 degrees
Positions (direct):
Rb  0.948  0.948  0.049
Rb  0.053  0.053  0.485
Rb  0.368  0.368  0.116
Rb  0.692  0.692  0.834
Sb  0.334  0.334  0.729
Sb  0.610  0.610  0.349
S  0.221  0.691  0.773
S  0.855  0.397  0.181
S  0.397  0.855  0.181
S  0.691  0.221  0.773
S  0.374  0.374  0.459

Record 6
This record from the Alexandria database describes a relaxed structure of EuPuZnBi. The functional is PBE.

Output
The uncorrected energy is -7.766 eV/atom.

Cell lengths 5.432, 5.432, 5.432 Å; angles 60.00, 60.00, 60.00 degrees
Last column: magnetic moment on the atom in μB.
Positions (direct):
Eu  0.250  0.250  0.250  6.99
Zn  0.000  0.000  0.000  0.09
Bi  0.500  0.500  0.500  -0.09
Pu  0.750  0.750  0.750  5.74

Record 7
This record from the Alexandria database describes a relaxed structure of Mn2BeFeB. The functional is PBE.

Output
The uncorrected energy is -6.431 eV/atom.

Cell lengths 3.907, 3.767, 3.907 Å; angles 90.00, 90.00, 90.00 degrees
Last column: magnetic moment on the atom in μB.
Positions (direct):
Be  0.000  0.000  0.000  -0.14
B  0.500  0.500  0.500  -0.23
Mn  0.000  0.000  0.500  2.95
Mn  0.500  0.000  0.000  2.42
Fe  0.000  0.500  0.000  2.03

Record 8
This record from the Alexandria database describes a relaxed structure of Sr3SnN. The functional is PBE.

Output
The value obtained for the formation energy without anion corrections is -0.587 eV/atom.

Cell lengths 8.019, 7.516, 7.517 Å; angles 119.98, 56.97, 89.99 degrees
Positions (direct):
Sr  0.339  0.399  0.259
Sr  0.220  0.962  0.879
Sr  0.339  0.904  0.259
Sr  0.872  0.446  0.849
Sr  0.777  0.484  0.472
Sr  0.776  0.033  0.472
Sn  0.820  0.955  0.865
Sn  0.284  0.450  0.856
N  0.074  0.193  0.343
N  0.544  0.464  0.884

Ρ list, top to bottom, in g/cm³: 7.1 5.8 6.1 4.1 3.0 9.8 5.4 4.3